1.
Entry from Alexandria: BaSrHgO3 after structural relaxation (PBE).

Cell lengths 3.686, 6.335, 9.409 Å; angles 97.65, 90.00, 90.00 degrees
Positions (direct):
O1 0.750 0.258 0.521
Sr1 0.750 0.242 0.946
O2 0.750 0.035 0.162
O3 0.250 0.464 0.847
O4 0.250 0.742 0.479
Hg1 0.750 0.846 0.352
Ba1 0.250 0.334 0.310
Ba2 0.750 0.666 0.690
Hg2 0.250 0.154 0.648
Sr2 0.250 0.758 0.054
O5 0.750 0.536 0.153
O6 0.250 0.965 0.838

Calculated values
The value obtained for the formation energy from raw total energies is -1855 meV/atom. Its crystal system is monoclinic.

=====

2.
Entry from Alexandria: Ba2SrHgO4 after structural relaxation (PBE).

Cell lengths 3.729, 6.793, 6.668 Å; angles 113.48, 90.00, 90.00 degrees
Positions (direct):
Ba1 0.500 0.000 0.500
O1 0.000 0.719 0.255
O2 0.000 0.281 0.745
Hg1 0.000 0.000 0.000
O3 0.500 0.769 0.780
Sr1 0.500 0.500 0.000
Ba2 0.000 0.500 0.500
O4 0.500 0.231 0.220

Calculated values
The value obtained for the formation energy from raw total energies is -1946 meV/atom. Its crystal system is monoclinic.

=====

3.
Entry from Alexandria: Ba3TbHg2O6 after structural relaxation (PBE).

Cell lengths 6.350, 6.350, 7.010 Å; angles 90.00, 90.00, 120.00 degrees
Positions (direct):
O1 0.164 0.836 0.310
O2 0.328 0.164 0.690
O3 0.164 0.328 0.310
Hg1 0.667 0.333 0.872
O4 0.836 0.672 0.690
O5 0.672 0.836 0.310
O6 0.836 0.164 0.690
Ba1 0.000 0.000 0.000
Ba2 0.333 0.667 0.613
Ba3 0.667 0.333 0.387
Hg2 0.333 0.667 0.128
Tb1 0.000 0.000 0.500

Calculated values
The value obtained for the formation energy from raw total energies is -1899 meV/atom. Its crystal system is trigonal.

=====

4.
Entry from Alexandria: BaTcHgO4 after structural relaxation (PBE).

Cell lengths 6.962, 6.009, 9.638 Å; angles 90.00, 119.69, 90.00 degrees
Site moments in Bohr magnetons follow the coordinates.
Positions (direct):
O1 0.731 0.250 0.800  0.03
Ba1 0.285 0.250 0.590  0.01
O2 0.418 0.750 0.527  0.10
O3 0.269 0.750 0.200  0.03
O4 0.008 0.984 0.340  0.06
Hg1 0.454 0.250 0.064  0.00
Tc1 0.834 0.250 0.665  0.64
Ba2 0.715 0.750 0.410  0.01
O5 0.992 0.016 0.660  0.06
O6 0.582 0.250 0.473  0.10
Hg2 0.546 0.750 0.936  0.00
O7 0.992 0.484 0.660  0.06
Tc2 0.166 0.750 0.335  0.64
O8 0.008 0.516 0.340  0.06

Calculated values
The value obtained for the formation energy from raw total energies is -1610 meV/atom. Its crystal system is monoclinic.

=====

5.
Entry from Alexandria: BaHgTeO4 after structural relaxation (PBE).

Cell lengths 6.845, 6.845, 6.845 Å; angles 60.00, 60.00, 60.00 degrees
Positions (direct):
Te1 0.250 0.250 0.250
O1 0.363 0.363 0.363
Ba1 0.750 0.750 0.750
Hg1 0.500 0.500 0.500
O2 0.363 0.910 0.363
O3 0.910 0.363 0.363
O4 0.363 0.363 0.910

Calculated values
The value obtained for the formation energy from raw total energies is -796 meV/atom. Its crystal system is cubic.

=====

6.
Entry from Alexandria: BaHg2TeO after structural relaxation (PBE).

Cell lengths 5.461, 6.990, 5.461 Å; angles 90.00, 90.00, 90.00 degrees
Site moments in Bohr magnetons follow the coordinates.
Positions (direct):
Ba1 0.000 0.500 0.000  0.03
Hg1 0.000 0.000 0.500  0.00
Te1 0.000 0.000 0.000  -0.01
Hg2 0.500 0.000 0.000  -0.01
O1 0.500 0.500 0.500  -0.34

Calculated values
The value obtained for the formation energy from raw total energies is -10 meV/atom. Its crystal system is tetragonal.

=====

7.
Entry from Alexandria: BaHgTeO2 after structural relaxation (PBE).

Cell lengths 4.717, 5.446, 4.717 Å; angles 90.00, 90.00, 90.00 degrees
Site moments in Bohr magnetons follow the coordinates.
Positions (direct):
Hg1 0.000 0.000 0.000  0.01
O1 0.500 0.000 0.000  0.35
O2 0.000 0.000 0.500  0.29
Te1 0.000 0.500 0.000  0.10
Ba1 0.500 0.500 0.500  0.00

Calculated values
The value obtained for the formation energy from raw total energies is -425 meV/atom. Its crystal system is tetragonal.

=====

8.
Entry from Alexandria: Ba3HgTe2O9 after structural relaxation (PBE).

Cell lengths 6.102, 6.102, 7.473 Å; angles 90.00, 90.00, 120.00 degrees
Positions (direct):
Ba1 0.000 0.000 0.000
O1 0.500 0.000 0.000
Te1 0.333 0.667 0.167
Te2 0.667 0.333 0.833
O2 0.179 0.358 0.315
O3 0.821 0.642 0.685
Hg1 0.000 0.000 0.500
Ba2 0.667 0.333 0.335
O4 0.179 0.821 0.315
Ba3 0.333 0.667 0.665
O5 0.821 0.179 0.685
O6 0.000 0.500 0.000
O7 0.642 0.821 0.315
O8 0.358 0.179 0.685
O9 0.500 0.500 0.000

Calculated values
The value obtained for the formation energy from raw total energies is -1723 meV/atom. Its crystal system is trigonal.

=====

9.
Entry from Alexandria: BaTi2HgO6 after structural relaxation (PBE).

Cell lengths 6.538, 7.671, 7.671 Å; angles 101.14, 75.10, 75.10 degrees
Positions (direct):
O1 0.191 0.922 0.772
O2 0.309 0.228 0.078
O3 0.449 0.419 0.351
O4 0.591 0.178 0.619
O5 0.949 0.351 0.419
O6 0.551 0.581 0.649
O7 0.409 0.822 0.381
Ba1 0.750 0.103 0.897
Ti1 0.684 0.281 0.422
Ti2 0.184 0.422 0.281
O8 0.809 0.078 0.228
Hg1 0.750 0.737 0.263
Hg2 0.250 0.263 0.737
Ti3 0.316 0.719 0.578
O9 0.691 0.772 0.922
Ba2 0.250 0.897 0.103
O10 0.051 0.649 0.581
O11 0.909 0.381 0.822
Ti4 0.816 0.578 0.719
O12 0.091 0.619 0.178

Calculated values
The value obtained for the formation energy from raw total energies is -2480 meV/atom. Its crystal system is monoclinic.

=====

10.
Entry from Alexandria: BaTl2HgO2 after structural relaxation (PBE).

Cell lengths 6.438, 7.535, 7.539 Å; angles 91.61, 90.00, 90.00 degrees
Positions (direct):
O1 0.000 0.844 0.844
Tl1 0.750 0.826 0.624
O2 0.000 0.156 0.156
Tl2 0.750 0.376 0.174
Hg1 0.250 0.644 0.356
Tl3 0.250 0.174 0.376
Tl4 0.250 0.624 0.826
O3 0.500 0.844 0.844
Ba1 0.250 0.115 0.885
Hg2 0.750 0.356 0.644
Ba2 0.750 0.885 0.115
O4 0.500 0.156 0.156

Calculated values
The value obtained for the formation energy from raw total energies is -1115 meV/atom. Its crystal system is orthorhombic.

=====

11.
Entry from Alexandria: Ba2TlHg2O6 after structural relaxation (PBE).

Cell lengths 6.477, 6.477, 7.042 Å; angles 62.62, 62.62, 60.00 degrees
Site moments in Bohr magnetons follow the coordinates.
Positions (direct):
O1 0.198 0.766 0.271  0.13
Ba1 0.792 0.792 0.624  -0.01
Ba2 0.208 0.208 0.376  -0.01
O2 0.234 0.234 0.729  0.13
O3 0.766 0.766 0.271  0.13
O4 0.766 0.198 0.271  0.13
Hg1 0.414 0.414 0.759  0.04
O5 0.802 0.234 0.729  0.13
Hg2 0.586 0.586 0.241  0.04
O6 0.234 0.802 0.729  0.13
Tl1 0.000 0.000 0.000  0.00

Calculated values
The value obtained for the formation energy from raw total energies is -1041 meV/atom. Its crystal system is trigonal.

=====

12.
Entry from Alexandria: Ba2TlHgO5 after structural relaxation (PBE).

Cell lengths 3.672, 7.732, 11.488 Å; angles 90.00, 90.00, 103.74 degrees
Site moments in Bohr magnetons follow the coordinates.
Positions (direct):
O1 0.510 0.021 0.276  0.18
Tl1 0.215 0.430 0.018  0.00
O2 0.368 0.736 0.996  0.18
O3 0.632 0.264 0.496  0.18
Tl2 0.785 0.570 0.518  0.00
O4 0.683 0.367 0.886  0.22
O5 0.724 0.449 0.148  0.09
Hg1 0.530 0.060 0.955  0.10
O6 0.490 0.979 0.776  0.18
O7 0.317 0.633 0.386  0.22
O8 0.276 0.551 0.648  0.09
Hg2 0.470 0.940 0.455  0.10
Ba1 0.898 0.796 0.183  0.00
O9 0.064 0.129 0.064  0.12
O10 0.936 0.871 0.564  0.12
Ba2 0.102 0.204 0.683  0.00
Ba3 0.141 0.282 0.299  0.00
Ba4 0.859 0.718 0.799  0.00

Calculated values
The value obtained for the formation energy from raw total energies is -1340 meV/atom. Its crystal system is orthorhombic.

=====

13.
Entry from Alexandria: Ba2TlHgO4 after structural relaxation (PBE).

Cell lengths 6.219, 6.219, 6.219 Å; angles 91.38, 119.21, 119.21 degrees
Positions (direct):
Ba1 0.500 0.750 0.250
O1 0.537 0.378 0.410
Tl1 0.000 0.500 0.500
O2 0.033 0.159 0.622
Ba2 0.000 0.000 0.000
O3 0.967 0.590 0.126
Hg1 0.500 0.250 0.750
O4 0.463 0.874 0.841

Calculated values
The value obtained for the formation energy from raw total energies is -1400 meV/atom. Its crystal system is tetragonal.

=====

14.
Entry from Alexandria: Ba2TmHgO4 after structural relaxation (PBE).

Cell lengths 7.050, 7.050, 7.050 Å; angles 69.55, 132.43, 132.43 degrees
Positions (direct):
O1 0.069 0.134 0.648
O2 0.514 0.935 0.866
O3 0.486 0.352 0.421
Tm1 0.500 0.250 0.750
Ba1 0.000 0.000 0.000
Ba2 0.500 0.750 0.250
Hg1 0.000 0.500 0.500
O4 0.931 0.579 0.065

Calculated values
The value obtained for the formation energy from raw total energies is -2216 meV/atom. Its crystal system is tetragonal.